Here is a relaxed structure of HfCoRe2Ru from Alexandria. Energies are from PBE.

Unit cell a=4.3768 b=4.3768 c=4.5836 alpha=90.00 beta=90.00 gamma=90.00
With the nearest neighbours (Å) after each atom.
Fractional coordinates of all 5 atoms:
1 Hf 0.0000 0.0000 0.0000  2 Co 2.29
2 Co 0.0000 0.0000 0.5000  4 Re 2.19, 2 Hf 2.29
3 Re 0.0000 0.5000 0.5000  2 Co 2.19
4 Re 0.5000 0.0000 0.5000  2 Co 2.19
5 Ru 0.5000 0.5000 0.0000  4 Hf 3.09, 8 Re 3.17

Raw total energy (eV/atom): -9.1166
Formation energy (kJ per mole of atoms): 109.0

***

Here is a relaxed structure of HfCo2ReSn from Alexandria. Energies are from PBE.

Unit cell a=4.4761 b=4.4761 c=4.9134 alpha=90.00 beta=90.00 gamma=90.00
With the nearest neighbours (Å) after each atom.
Fractional coordinates of all 5 atoms:
1 Hf 0.0000 0.0000 0.0000  4 Re 3.17, 8 Co 3.32
2 Co 0.0000 0.5000 0.5000  2 Sn 2.24
3 Co 0.5000 0.0000 0.5000  2 Sn 2.24
4 Re 0.5000 0.5000 0.0000  2 Sn 2.46
5 Sn 0.5000 0.5000 0.5000  4 Co 2.24, 2 Re 2.46

Raw total energy (eV/atom): -6.7759
Formation energy (kJ per mole of atoms): 130.0

***

Here is a relaxed structure of HfTaCoRe from Alexandria. Energies are from PBE.

Unit cell a=6.3698 b=6.3698 c=6.3698 alpha=90.00 beta=90.00 gamma=90.00
With the nearest neighbours (Å) after each atom.
Fractional coordinates of all 16 atoms:
1 Hf 0.0000 0.0000 0.0000  4 Co 2.76, 4 Re 2.76
2 Hf 0.0000 0.5000 0.5000  4 Co 2.76, 4 Re 2.76
3 Hf 0.5000 0.0000 0.5000  4 Co 2.76, 4 Re 2.76
4 Hf 0.5000 0.5000 0.0000  4 Co 2.76, 4 Re 2.76
5 Ta 0.0000 0.0000 0.5000  4 Co 2.76, 4 Re 2.76
6 Ta 0.0000 0.5000 0.0000  4 Co 2.76, 4 Re 2.76
7 Ta 0.5000 0.0000 0.0000  4 Co 2.76, 4 Re 2.76
8 Ta 0.5000 0.5000 0.5000  4 Re 2.76, 4 Co 2.76
9 Co 0.2500 0.2500 0.2500  4 Hf 2.76, 4 Ta 2.76
10 Co 0.2500 0.7500 0.7500  4 Hf 2.76, 4 Ta 2.76
11 Co 0.7500 0.2500 0.7500  4 Hf 2.76, 4 Ta 2.76
12 Co 0.7500 0.7500 0.2500  4 Hf 2.76, 4 Ta 2.76
13 Re 0.2500 0.2500 0.7500  4 Hf 2.76, 4 Ta 2.76
14 Re 0.2500 0.7500 0.2500  4 Hf 2.76, 4 Ta 2.76
15 Re 0.7500 0.2500 0.2500  4 Hf 2.76, 4 Ta 2.76
16 Re 0.7500 0.7500 0.7500  4 Ta 2.76, 4 Hf 2.76

Raw total energy (eV/atom): -10.6672
Formation energy (kJ per mole of atoms): -31.6

***

Here is a relaxed structure of HfTa2CoRe from Alexandria. Energies are from PBE.

Unit cell a=4.8740 b=4.8740 c=4.6386 alpha=90.00 beta=90.00 gamma=90.00
With the nearest neighbours (Å) after each atom.
Fractional coordinates of all 5 atoms:
1 Hf 0.0000 0.0000 0.0000  2 Re 2.32, 4 Ta 2.44
2 Ta 0.0000 0.5000 0.0000  2 Hf 2.44
3 Ta 0.5000 0.0000 0.0000  2 Hf 2.44
4 Co 0.5000 0.5000 0.5000  8 Ta 3.36, 4 Re 3.45
5 Re 0.0000 0.0000 0.5000  2 Hf 2.32

Raw total energy (eV/atom): -8.1968
Formation energy (kJ per mole of atoms): 236.0

***

Here is a relaxed structure of HfCoRe2Te from Alexandria. Energies are from PBE.

Unit cell a=4.7961 b=4.7961 c=5.1189 alpha=90.00 beta=90.00 gamma=90.00
With the nearest neighbours (Å) after each atom.
Fractional coordinates of all 5 atoms:
1 Hf 0.0000 0.0000 0.0000  2 Te 2.56
2 Co 0.5000 0.5000 0.0000  4 Hf 3.39, 8 Re 3.51
3 Re 0.0000 0.5000 0.5000  2 Te 2.40
4 Re 0.5000 0.0000 0.5000  2 Te 2.40
5 Te 0.0000 0.0000 0.5000  4 Re 2.40, 2 Hf 2.56

Formation energy without anion corrections (eV/atom): 2.29
Raw total energy (eV/atom): -6.7245

***

Here is a relaxed structure of HfTiCoRe from Alexandria. Energies are from PBE.

Unit cell a=3.1580 b=3.1580 c=6.1993 alpha=90.00 beta=90.00 gamma=90.00
With the nearest neighbours (Å) after each atom.
Fractional coordinates of all 4 atoms:
1 Hf 0.0000 0.0000 0.0000  4 Co 2.72, 4 Re 2.80
2 Ti 0.0000 0.0000 0.5082  4 Re 2.67, 4 Co 2.69
3 Co 0.5000 0.5000 0.7494  4 Ti 2.69, 4 Hf 2.72, 1 Re 2.96
4 Re 0.5000 0.5000 0.2722  4 Ti 2.67, 4 Hf 2.80, 1 Co 2.96

Energy above the lowest structure with this stoichiometry (meV per atom): 0.0
Raw total energy (eV/atom): -9.7564
Formation energy (kJ per mole of atoms): -39.2

***

Here is a relaxed structure of HfTiCoRe from Alexandria. Energies are from PBE.

Unit cell a=6.2791 b=6.2791 c=6.2791 alpha=90.00 beta=90.00 gamma=90.00
With the nearest neighbours (Å) after each atom.
Fractional coordinates of all 16 atoms:
1 Hf 0.0000 0.0000 0.0000  4 Co 2.72, 4 Re 2.72
2 Hf 0.0000 0.5000 0.5000  4 Co 2.72, 4 Re 2.72
3 Hf 0.5000 0.0000 0.5000  4 Co 2.72, 4 Re 2.72
4 Hf 0.5000 0.5000 0.0000  4 Co 2.72, 4 Re 2.72
5 Ti 0.0000 0.0000 0.5000  4 Re 2.72, 4 Co 2.72
6 Ti 0.0000 0.5000 0.0000  4 Re 2.72, 4 Co 2.72
7 Ti 0.5000 0.0000 0.0000  4 Re 2.72, 4 Co 2.72
8 Ti 0.5000 0.5000 0.5000  4 Re 2.72, 4 Co 2.72
9 Co 0.2500 0.2500 0.7500  4 Hf 2.72, 4 Ti 2.72
10 Co 0.2500 0.7500 0.2500  4 Hf 2.72, 4 Ti 2.72
11 Co 0.7500 0.2500 0.2500  4 Hf 2.72, 4 Ti 2.72
12 Co 0.7500 0.7500 0.7500  4 Hf 2.72, 4 Ti 2.72
13 Re 0.2500 0.2500 0.2500  4 Hf 2.72, 4 Ti 2.72
14 Re 0.2500 0.7500 0.7500  4 Hf 2.72, 4 Ti 2.72
15 Re 0.7500 0.2500 0.7500  4 Hf 2.72, 4 Ti 2.72
16 Re 0.7500 0.7500 0.2500  4 Hf 2.72, 4 Ti 2.72

Energy above the lowest structure with this stoichiometry (meV per atom): 13.3
Raw total energy (eV/atom): -9.7431
Formation energy (kJ per mole of atoms): -37.9

***

Here is a relaxed structure of Hf2TiCoRe from Alexandria. Energies are from PBE.

Unit cell a=4.6885 b=4.6885 c=4.4938 alpha=90.00 beta=90.00 gamma=90.00
With the nearest neighbours (Å) after each atom.
Fractional coordinates of all 5 atoms:
1 Hf 0.0000 0.5000 0.0000  2 Co 2.34
2 Hf 0.5000 0.0000 0.0000  2 Co 2.34
3 Ti 0.0000 0.0000 0.5000  8 Hf 3.25, 4 Re 3.32
4 Co 0.5000 0.5000 0.0000  2 Re 2.25, 4 Hf 2.34
5 Re 0.5000 0.5000 0.5000  2 Co 2.25

Raw total energy (eV/atom): -8.9047
Formation energy (kJ per mole of atoms): 54.7

***

Here is a relaxed structure of TmHfCoRe from Alexandria. Energies are from PBE.

Unit cell a=6.5536 b=6.5536 c=6.5536 alpha=90.00 beta=90.00 gamma=90.00
With the nearest neighbours (Å) after each atom.
Fractional coordinates of all 16 atoms:
1 Tm 0.0000 0.0000 0.0000  4 Co 2.84, 4 Re 2.84
2 Tm 0.0000 0.5000 0.5000  4 Co 2.84, 4 Re 2.84
3 Tm 0.5000 0.0000 0.5000  4 Co 2.84, 4 Re 2.84
4 Tm 0.5000 0.5000 0.0000  4 Co 2.84, 4 Re 2.84
5 Hf 0.0000 0.0000 0.5000  4 Co 2.84, 4 Re 2.84
6 Hf 0.0000 0.5000 0.0000  4 Co 2.84, 4 Re 2.84
7 Hf 0.5000 0.0000 0.0000  4 Co 2.84, 4 Re 2.84
8 Hf 0.5000 0.5000 0.5000  4 Co 2.84, 4 Re 2.84
9 Co 0.2500 0.2500 0.7500  4 Hf 2.84, 4 Tm 2.84
10 Co 0.2500 0.7500 0.2500  4 Hf 2.84, 4 Tm 2.84
11 Co 0.7500 0.2500 0.2500  4 Hf 2.84, 4 Tm 2.84
12 Co 0.7500 0.7500 0.7500  4 Tm 2.84, 4 Hf 2.84
13 Re 0.2500 0.2500 0.2500  4 Hf 2.84, 4 Tm 2.84
14 Re 0.2500 0.7500 0.7500  4 Hf 2.84, 4 Tm 2.84
15 Re 0.7500 0.2500 0.7500  4 Hf 2.84, 4 Tm 2.84
16 Re 0.7500 0.7500 0.2500  4 Hf 2.84, 4 Tm 2.84

Raw total energy (eV/atom): -8.6286
Formation energy (kJ per mole of atoms): -12.9

***

Here is a relaxed structure of HfUCoRe from Alexandria. Energies are from PBE.

Unit cell a=6.5790 b=6.5790 c=6.5790 alpha=90.00 beta=90.00 gamma=90.00
With the nearest neighbours (Å) after each atom.
Fractional coordinates of all 16 atoms:
1 Hf 0.0000 0.0000 0.0000  4 Co 2.85, 4 Re 2.85
2 Hf 0.0000 0.5000 0.5000  4 Co 2.85, 4 Re 2.85
3 Hf 0.5000 0.0000 0.5000  4 Co 2.85, 4 Re 2.85
4 Hf 0.5000 0.5000 0.0000  4 Co 2.85, 4 Re 2.85
5 U 0.0000 0.0000 0.5000  4 Co 2.85, 4 Re 2.85
6 U 0.0000 0.5000 0.0000  4 Co 2.85, 4 Re 2.85
7 U 0.5000 0.0000 0.0000  4 Co 2.85, 4 Re 2.85
8 U 0.5000 0.5000 0.5000  4 Co 2.85, 4 Re 2.85
9 Co 0.2500 0.2500 0.7500  4 U 2.85, 4 Hf 2.85
10 Co 0.2500 0.7500 0.2500  4 U 2.85, 4 Hf 2.85
11 Co 0.7500 0.2500 0.2500  4 U 2.85, 4 Hf 2.85
12 Co 0.7500 0.7500 0.7500  4 U 2.85, 4 Hf 2.85
13 Re 0.2500 0.2500 0.2500  4 Hf 2.85, 4 U 2.85
14 Re 0.2500 0.7500 0.7500  4 Hf 2.85, 4 U 2.85
15 Re 0.7500 0.2500 0.7500  4 Hf 2.85, 4 U 2.85
16 Re 0.7500 0.7500 0.2500  4 Hf 2.85, 4 U 2.85

Raw total energy (eV/atom): -10.2485
Formation energy (kJ per mole of atoms): -4.8

***

Here is a relaxed structure of HfVCoRe from Alexandria. Energies are from PBE.

Unit cell a=6.2063 b=6.2063 c=6.2063 alpha=90.00 beta=90.00 gamma=90.00
With the nearest neighbours (Å) after each atom.
Fractional coordinates of all 16 atoms:
1 Hf 0.0000 0.0000 0.0000  4 Co 2.69, 4 Re 2.69
2 Hf 0.0000 0.5000 0.5000  4 Co 2.69, 4 Re 2.69
3 Hf 0.5000 0.0000 0.5000  4 Co 2.69, 4 Re 2.69
4 Hf 0.5000 0.5000 0.0000  4 Co 2.69, 4 Re 2.69
5 V 0.0000 0.0000 0.5000  4 Re 2.69, 4 Co 2.69
6 V 0.0000 0.5000 0.0000  4 Re 2.69, 4 Co 2.69
7 V 0.5000 0.0000 0.0000  4 Re 2.69, 4 Co 2.69
8 V 0.5000 0.5000 0.5000  4 Re 2.69, 4 Co 2.69
9 Co 0.2500 0.2500 0.7500  4 V 2.69, 4 Hf 2.69
10 Co 0.2500 0.7500 0.2500  4 V 2.69, 4 Hf 2.69
11 Co 0.7500 0.2500 0.2500  4 V 2.69, 4 Hf 2.69
12 Co 0.7500 0.7500 0.7500  4 V 2.69, 4 Hf 2.69
13 Re 0.2500 0.2500 0.2500  4 Hf 2.69, 4 V 2.69
14 Re 0.2500 0.7500 0.7500  4 Hf 2.69, 4 V 2.69
15 Re 0.7500 0.2500 0.7500  4 Hf 2.69, 4 V 2.69
16 Re 0.7500 0.7500 0.2500  4 Hf 2.69, 4 V 2.69

Raw total energy (eV/atom): -9.8666
Formation energy (kJ per mole of atoms): -20.3

***

Here is a relaxed structure of HfV2CoRe from Alexandria. Energies are from PBE.

Unit cell a=4.5097 b=4.5097 c=5.0705 alpha=90.00 beta=90.00 gamma=90.00
With the nearest neighbours (Å) after each atom.
Fractional coordinates of all 5 atoms:
1 Hf 0.0000 0.0000 0.0000  2 Re 2.54
2 V 0.0000 0.5000 0.5000  2 Re 2.25
3 V 0.5000 0.0000 0.5000  2 Re 2.25
4 Co 0.5000 0.5000 0.0000  4 Hf 3.19, 8 V 3.39
5 Re 0.0000 0.0000 0.5000  4 V 2.25

Raw total energy (eV/atom): -8.2479
Formation energy (kJ per mole of atoms): 125.5

***

Here is a relaxed structure of HfZrCoRe from Alexandria. Energies are from PBE.

Unit cell a=6.4746 b=6.4746 c=6.4746 alpha=90.00 beta=90.00 gamma=90.00
With the nearest neighbours (Å) after each atom.
Fractional coordinates of all 16 atoms:
1 Hf 0.0000 0.0000 0.0000  4 Re 2.80, 4 Co 2.80
2 Hf 0.0000 0.5000 0.5000  4 Co 2.80, 4 Re 2.80
3 Hf 0.5000 0.0000 0.5000  4 Co 2.80, 4 Re 2.80
4 Hf 0.5000 0.5000 0.0000  4 Co 2.80, 4 Re 2.80
5 Zr 0.0000 0.0000 0.5000  4 Co 2.80, 4 Re 2.80
6 Zr 0.0000 0.5000 0.0000  4 Co 2.80, 4 Re 2.80
7 Zr 0.5000 0.0000 0.0000  4 Co 2.80, 4 Re 2.80
8 Zr 0.5000 0.5000 0.5000  4 Re 2.80, 4 Co 2.80
9 Co 0.2500 0.2500 0.7500  4 Zr 2.80, 4 Hf 2.80
10 Co 0.2500 0.7500 0.2500  4 Zr 2.80, 4 Hf 2.80
11 Co 0.7500 0.2500 0.2500  4 Zr 2.80, 4 Hf 2.80
12 Co 0.7500 0.7500 0.7500  4 Zr 2.80, 4 Hf 2.80
13 Re 0.2500 0.2500 0.2500  4 Zr 2.80, 4 Hf 2.80
14 Re 0.2500 0.7500 0.7500  4 Zr 2.80, 4 Hf 2.80
15 Re 0.7500 0.2500 0.7500  4 Zr 2.80, 4 Hf 2.80
16 Re 0.7500 0.7500 0.2500  4 Zr 2.80, 4 Hf 2.80

Raw total energy (eV/atom): -9.8556
Formation energy (kJ per mole of atoms): -33.0